Below is a geometry-optimized EuHoAs2 structure, with properties calculated at the PBE level.

Cell lengths 4.183, 4.183, 7.306 Å; angles 73.36, 73.36, 60.00 degrees
Each line ends with the local moment (μB).
Fractional positions:
Eu: 0.500 0.500 0.500  6.62
As: 0.254 0.254 0.237  -0.08
As: 0.746 0.746 0.763  -0.08
Ho: 0.000 0.000 0.000  -0.07

Computed properties:
Symmetry = R-3m, No. 166
Calculated formation energy = -1.30 eV/atom